Entry 1:
## Cs3MgTc (PBE-GGA)

Data for a relaxed Cs3MgTc crystal.

Summary:
Formation energy in eV per atom: 1.235
DOS at the Fermi energy in states/eV/cell: 8.966

a = 6.178 Å, b = 6.178 Å, c = 6.178 Å
α = 90.00°, β = 90.00°, γ = 90.00°
Fractional coordinates of all 5 atoms:
Tc: 0.000 0.000 0.000
Mg: 0.500 0.500 0.500
Cs: 0.000 0.500 0.000
Cs: 0.000 0.000 0.500
Cs: 0.500 0.000 0.000


Entry 2:
## Cs2MgTc (PBE-GGA)

Data for a relaxed Cs2MgTc crystal.

Summary:
Formation energy in eV per atom: 1.363
DOS at the Fermi energy in states/eV/cell: 3.184

a = 6.012 Å, b = 6.012 Å, c = 6.012 Å
α = 60.00°, β = 60.00°, γ = 60.00°
Fractional coordinates of all 4 atoms:
Mg: 0.000 0.000 0.000
Tc: 0.500 0.500 0.500
Cs: 0.750 0.750 0.750
Cs: 0.250 0.250 0.250


Entry 3:
## CsYMg2Tc (PBE-GGA)

Data for a relaxed CsYMg2Tc crystal.

Summary:
Formation energy in eV per atom: 1.689
DOS at the Fermi energy in states/eV/cell: 5.664

a = 5.586 Å, b = 5.105 Å, c = 5.586 Å
α = 90.00°, β = 90.00°, γ = 90.00°
Fractional coordinates of all 5 atoms:
Tc: 0.000 0.500 0.000
Cs: 0.000 0.000 0.000
Mg: 0.000 0.000 0.500
Mg: 0.500 0.000 0.000
Y: 0.500 0.500 0.500


Entry 4:
## CsYMg2Tc (PBE-GGA)

Data for a relaxed CsYMg2Tc crystal.

Summary:
Formation energy in eV per atom: 1.039
DOS at the Fermi energy in states/eV/cell: 5.209

a = 5.240 Å, b = 5.462 Å, c = 5.240 Å
α = 90.00°, β = 90.00°, γ = 90.00°
Fractional coordinates of all 5 atoms:
Y: 0.500 0.500 0.500
Cs: 0.000 0.500 0.000
Mg: 0.000 0.000 0.500
Mg: 0.500 0.000 0.000
Tc: 0.000 0.000 0.000


Entry 5:
## Cs2MgTe (PBE-GGA)

Data for a relaxed Cs2MgTe crystal.

Summary:
Uncorrected formation energy in eV per atom: -0.2000
DOS at the Fermi energy in states/eV/cell: 0.000

a = 6.839 Å, b = 6.839 Å, c = 12.604 Å
α = 74.26°, β = 74.26°, γ = 90.00°
Fractional coordinates of all 8 atoms:
Te: 0.750 0.250 0.500
Te: 0.000 0.000 0.000
Mg: 0.250 0.750 0.500
Mg: 0.500 0.500 0.000
Cs: 0.375 0.340 0.750
Cs: 0.090 0.625 0.250
Cs: 0.660 0.125 0.250
Cs: 0.875 0.910 0.750


Entry 6:
## Cs2MgTe (PBE-GGA)

Data for a relaxed Cs2MgTe crystal.

Summary:
Uncorrected formation energy in eV per atom: -0.4558
DOS at the Fermi energy in states/eV/cell: 0.000

a = 6.499 Å, b = 6.499 Å, c = 6.499 Å
α = 60.00°, β = 60.00°, γ = 60.00°
Fractional coordinates of all 4 atoms:
Mg: 0.000 0.000 0.000
Cs: 0.750 0.750 0.750
Cs: 0.250 0.250 0.250
Te: 0.500 0.500 0.500


Entry 7:
## Cs2MgTe3 (PBE-GGA)

Data for a relaxed Cs2MgTe3 crystal.

Summary:
Uncorrected formation energy in eV per atom: -0.8596

a = 5.037 Å, b = 8.433 Å, c = 25.769 Å
α = 90.00°, β = 90.00°, γ = 90.00°
Fractional coordinates of all 24 atoms:
Te: 0.750 0.914 0.657
Te: 0.250 0.186 0.536
Te: 0.250 0.686 0.964
Te: 0.250 0.086 0.343
Te: 0.250 0.410 0.320
Te: 0.250 0.910 0.180
Te: 0.250 0.586 0.157
Te: 0.750 0.590 0.680
Te: 0.750 0.814 0.464
Te: 0.750 0.314 0.036
Te: 0.750 0.090 0.820
Te: 0.750 0.414 0.843
Mg: 0.250 0.983 0.449
Mg: 0.750 0.517 0.949
Mg: 0.750 0.017 0.551
Mg: 0.250 0.483 0.051
Cs: 0.250 0.145 0.926
Cs: 0.750 0.355 0.426
Cs: 0.750 0.761 0.284
Cs: 0.750 0.261 0.216
Cs: 0.750 0.855 0.074
Cs: 0.250 0.645 0.574
Cs: 0.250 0.739 0.784
Cs: 0.250 0.239 0.716


Entry 8:
## CsMgTe2 (PBE-GGA)

Data for a relaxed CsMgTe2 crystal.

Summary:
Uncorrected formation energy in eV per atom: -0.7001
DOS at the Fermi energy in states/eV/cell: 1.752

a = 6.883 Å, b = 6.883 Å, c = 9.771 Å
α = 69.38°, β = 69.38°, γ = 90.00°
Fractional coordinates of all 8 atoms:
Cs: 0.750 0.250 0.500
Cs: 0.000 0.000 0.000
Mg: 0.500 0.500 0.000
Mg: 0.250 0.750 0.500
Te: 0.375 0.625 0.250
Te: 0.375 0.125 0.250
Te: 0.875 0.625 0.750
Te: 0.375 0.625 0.750


Entry 9:
## Cs3MgTe4 (PBE-GGA)

Data for a relaxed Cs3MgTe4 crystal.

Summary:
Uncorrected formation energy in eV per atom: -0.8337
DOS at the Fermi energy in states/eV/cell: 2.684

a = 6.034 Å, b = 6.553 Å, c = 10.817 Å
α = 107.63°, β = 106.20°, γ = 90.00°
Fractional coordinates of all 8 atoms:
Te: 0.385 0.143 0.771
Te: 0.615 0.373 0.229
Te: 0.615 0.857 0.229
Te: 0.385 0.627 0.771
Cs: 0.797 0.797 0.594
Cs: 0.000 0.500 0.000
Cs: 0.203 0.203 0.406
Mg: 0.500 0.000 0.000


Entry 10:
## CsMgTe2 (PBE-GGA)

Data for a relaxed CsMgTe2 crystal.

Summary:
Uncorrected formation energy in eV per atom: -0.6920
DOS at the Fermi energy in states/eV/cell: 2.576

a = 5.090 Å, b = 5.090 Å, c = 14.183 Å
α = 100.72°, β = 100.72°, γ = 87.90°
Fractional coordinates of all 8 atoms:
Cs: 0.113 0.113 0.202
Cs: 0.911 0.911 0.798
Te: 0.709 0.709 0.396
Te: 0.522 0.910 0.000
Te: 0.910 0.522 0.000
Te: 0.313 0.313 0.604
Mg: 0.761 0.261 0.500
Mg: 0.261 0.761 0.500